Record 1
# PaBe2CoIr2

An optimized crystal structure of PaBe2CoIr2 (GGA-PBE, the Alexandria database).

The mass density is 13.05 g/cm3. Its total energy is -7.1154 eV per atom.

It has space group I4/mmm (No. 139), with a = 4.165 Å, b = 4.165 Å, c = 10.158 Å, α = 90.00°, β = 90.00° and γ = 90.00°. The distinct sites, in fractional coordinates, are Pa at (0.000, 0.000, 0.000), Be at (0.000, 0.000, 0.307), Co at (0.000, 0.000, 0.500) and Ir at (0.000, 0.500, 0.250).



Record 2
# Pa2Be4CoIr3

An optimized crystal structure of Pa2Be4CoIr3 (GGA-PBE, the Alexandria database).

The mass density is 13.03 g/cm3. Its total energy is -7.3199 eV per atom.

It has space group P-4m2 (No. 115), with a = 3.906 Å, b = 3.906 Å, c = 9.471 Å, α = 90.00°, β = 90.00° and γ = 90.00°. The distinct sites, in fractional coordinates, are Pa at (0.000, 0.500, 0.234), Be at (0.000, 0.000, 0.500), Be at (0.000, 0.500, 0.883), Be at (0.500, 0.500, 0.500), Co at (0.500, 0.500, 0.000), Ir at (0.000, 0.000, 0.000) and Ir at (0.000, 0.500, 0.636).



Record 3
# BeCoIrSe2

An optimized crystal structure of BeCoIrSe2 (GGA-PBE, the Alexandria database).

As for the formation energy from raw total energies: 851 meV/atom. The mass density is 6.91 g/cm3. Its total energy is -4.4816 eV per atom.

It has space group P4/mmm (No. 123), with a = 4.938 Å, b = 4.938 Å, c = 4.122 Å, α = 90.00°, β = 90.00° and γ = 90.00°. The distinct sites, in fractional coordinates, are Be at (0.000, 0.000, 0.000), Co at (0.500, 0.500, 0.000), Ir at (0.000, 0.000, 0.500) and Se at (0.000, 0.500, 0.500).



Record 4
# BeCo2IrSe

An optimized crystal structure of BeCo2IrSe (GGA-PBE, the Alexandria database).

As for the formation energy from raw total energies: 831 meV/atom. The mass density is 9.99 g/cm3. Its total energy is -5.2254 eV per atom.

It has space group P4/mmm (No. 123), with a = 3.952 Å, b = 3.952 Å, c = 4.236 Å, α = 90.00°, β = 90.00° and γ = 90.00°. The distinct sites, in fractional coordinates, are Be at (0.000, 0.000, 0.000), Co at (0.000, 0.500, 0.000), Ir at (0.500, 0.500, 0.500) and Se at (0.000, 0.000, 0.500).



Record 5
# BeCoSiIr

An optimized crystal structure of BeCoSiIr (GGA-PBE, the Alexandria database).

As for the formation energy from raw total energies: -628 meV/atom. The mass density is 10.89 g/cm3. Its total energy is -6.9071 eV per atom.

It has space group F-43m (No. 216), with a = 5.602 Å, b = 5.602 Å, c = 5.602 Å, α = 90.00°, β = 90.00° and γ = 90.00°. The distinct sites, in fractional coordinates, are Be at (0.000, 0.000, 0.000), Co at (0.250, 0.250, 0.250), Si at (0.000, 0.000, 0.500) and Ir at (0.250, 0.250, 0.750).



Record 6
# Be2CoSnIr

An optimized crystal structure of Be2CoSnIr (GGA-PBE, the Alexandria database).

The mass density is 7.19 g/cm3. Its total energy is -4.8177 eV per atom.

It has space group P4/mmm (No. 123), with a = 4.225 Å, b = 4.225 Å, c = 5.017 Å, α = 90.00°, β = 90.00° and γ = 90.00°. The distinct sites, in fractional coordinates, are Be at (0.000, 0.500, 0.000), Co at (0.000, 0.000, 0.500), Sn at (0.500, 0.500, 0.500) and Ir at (0.500, 0.500, 0.000).



Record 7
# SrBeCoIr2

An optimized crystal structure of SrBeCoIr2 (GGA-PBE, the Alexandria database).

The mass density is 9.85 g/cm3. Its total energy is -5.5869 eV per atom.

It has space group P4/mmm (No. 123), with a = 4.641 Å, b = 4.641 Å, c = 4.225 Å, α = 90.00°, β = 90.00° and γ = 90.00°. The distinct sites, in fractional coordinates, are Sr at (0.000, 0.000, 0.000), Be at (0.500, 0.500, 0.000), Co at (0.500, 0.500, 0.500) and Ir at (0.000, 0.500, 0.500).



Record 8
# Th2BeCoIr6

An optimized crystal structure of Th2BeCoIr6 (GGA-PBE, the Alexandria database).

The mass density is 15.91 g/cm3. Its total energy is -8.1257 eV per atom.

It has space group Fm-3m (No. 225), with a = 8.894 Å, b = 8.894 Å, c = 8.894 Å, α = 90.00°, β = 90.00° and γ = 90.00°. The distinct sites, in fractional coordinates, are Th at (0.250, 0.250, 0.250), Be at (0.000, 0.000, 0.000), Co at (0.000, 0.000, 0.500) and Ir at (0.000, 0.000, 0.237).



Record 9
# TiBeCoIr

An optimized crystal structure of TiBeCoIr (GGA-PBE, the Alexandria database).

The mass density is 10.48 g/cm3. Its total energy is -7.5111 eV per atom.

It has space group F-43m (No. 216), with a = 5.801 Å, b = 5.801 Å, c = 5.801 Å, α = 90.00°, β = 90.00° and γ = 90.00°. The distinct sites, in fractional coordinates, are Ti at (0.000, 0.000, 0.000), Be at (0.000, 0.000, 0.500), Co at (0.250, 0.250, 0.250) and Ir at (0.250, 0.250, 0.750).



Record 10
# ZrBe2CoIr

An optimized crystal structure of ZrBe2CoIr (GGA-PBE, the Alexandria database).

The mass density is 7.29 g/cm3. Its total energy is -4.5307 eV per atom.

It has space group P4/mmm (No. 123), with a = 4.383 Å, b = 4.383 Å, c = 4.271 Å, α = 90.00°, β = 90.00° and γ = 90.00°. The distinct sites, in fractional coordinates, are Zr at (0.000, 0.000, 0.000), Be at (0.000, 0.500, 0.000), Co at (0.000, 0.000, 0.500) and Ir at (0.500, 0.500, 0.500).



Record 11
# ZrBeCoIr

An optimized crystal structure of ZrBeCoIr (GGA-PBE, the Alexandria database).

The mass density is 10.40 g/cm3. Its total energy is -7.4657 eV per atom.

It has space group F-43m (No. 216), with a = 6.078 Å, b = 6.078 Å, c = 6.078 Å, α = 90.00°, β = 90.00° and γ = 90.00°. The distinct sites, in fractional coordinates, are Zr at (0.000, 0.000, 0.000), Be at (0.000, 0.000, 0.500), Co at (0.250, 0.250, 0.750) and Ir at (0.250, 0.250, 0.250).



Record 12
# KBe2Co

An optimized crystal structure of KBe2Co (GGA-PBE, the Alexandria database).

The energy above the lowest structure with this stoichiometry comes out at 0 meV per atom. The mass density is 2.72 g/cm3. Its total energy is -3.6363 eV per atom.

It has space group Cm (No. 8), with a = 6.359 Å, b = 3.672 Å, c = 6.431 Å, α = 90.00°, β = 109.12° and γ = 90.00°. The distinct sites, in fractional coordinates, are K at (0.000, 0.000, 0.000), Be at (0.321, 0.500, 0.458), Be at (0.490, 0.000, 0.467) and Co at (0.185, 0.000, 0.552).



Record 13
# KBe2Co

An optimized crystal structure of KBe2Co (GGA-PBE, the Alexandria database).

The energy above the lowest structure with this stoichiometry comes out at 128 meV per atom. The mass density is 3.31 g/cm3. Its total energy is -3.5082 eV per atom.

It has space group P2/m (No. 10), with a = 2.783 Å, b = 2.784 Å, c = 7.522 Å, α = 90.00°, β = 90.15° and γ = 90.00°. The distinct sites, in fractional coordinates, are K at (0.000, 0.000, 0.000), Be at (0.499, 0.500, 0.359) and Co at (0.000, 0.000, 0.500).



Record 14
# KBeCo2

An optimized crystal structure of KBeCo2 (GGA-PBE, the Alexandria database).

The mass density is 4.53 g/cm3. Its total energy is -4.1436 eV per atom.

It has space group P4/mmm (No. 123), with a = 2.816 Å, b = 2.816 Å, c = 7.680 Å, α = 90.00°, β = 90.00° and γ = 90.00°. The distinct sites, in fractional coordinates, are K at (0.000, 0.000, 0.000), Be at (0.000, 0.000, 0.500) and Co at (0.500, 0.500, 0.352).



Record 15
# K2Be2Co

An optimized crystal structure of K2Be2Co (GGA-PBE, the Alexandria database).

The mass density is 1.91 g/cm3. Its total energy is -2.2983 eV per atom.

It has space group I4/mmm (No. 139), with a = 6.436 Å, b = 6.436 Å, c = 6.512 Å, α = 90.00°, β = 90.00° and γ = 90.00°. The distinct sites, in fractional coordinates, are K at (0.000, 0.500, 0.250), Be at (0.000, 0.000, 0.168) and Co at (0.000, 0.000, 0.500).



Record 16
# KBeCo2

An optimized crystal structure of KBeCo2 (GGA-PBE, the Alexandria database).

The mass density is 3.92 g/cm3. Its total energy is -4.1822 eV per atom.

It has space group Pm (No. 6), with a = 2.655 Å, b = 3.903 Å, c = 6.873 Å, α = 90.00°, β = 99.54° and γ = 90.00°. The distinct sites, in fractional coordinates, are K at (0.000, 0.000, 0.000), Be at (0.662, 0.500, 0.363), Co at (0.268, 0.500, 0.611) and Co at (0.726, 0.000, 0.524).



Record 17
# KBeCo2

An optimized crystal structure of KBeCo2 (GGA-PBE, the Alexandria database).

The mass density is 4.61 g/cm3. Its total energy is -3.5310 eV per atom.

It has space group Cmmm (No. 65), with a = 5.351 Å, b = 8.887 Å, c = 2.516 Å, α = 90.00°, β = 90.00° and γ = 90.00°. The distinct sites, in fractional coordinates, are K at (0.000, 0.000, 0.000), Be at (0.000, 0.500, 0.000) and Co at (0.250, 0.250, 0.500).



Record 18
# KBeCo2

An optimized crystal structure of KBeCo2 (GGA-PBE, the Alexandria database).

The mass density is 4.48 g/cm3. Its total energy is -3.4356 eV per atom.

It has space group P4/mmm (No. 123), with a = 4.912 Å, b = 4.912 Å, c = 2.551 Å, α = 90.00°, β = 90.00° and γ = 90.00°. The distinct sites, in fractional coordinates, are K at (0.000, 0.000, 0.000), Be at (0.500, 0.500, 0.000) and Co at (0.000, 0.500, 0.500).



Record 19
# K2BeCo2

An optimized crystal structure of K2BeCo2 (GGA-PBE, the Alexandria database).

The energy above the lowest structure with this stoichiometry comes out at 0 meV per atom. The mass density is 2.85 g/cm3. Its total energy is -3.0916 eV per atom.

It has space group I4/mmm (No. 139), with a = 3.279 Å, b = 3.279 Å, c = 22.219 Å, α = 90.00°, β = 90.00° and γ = 90.00°. The distinct sites, in fractional coordinates, are K at (0.000, 0.000, 0.117), Be at (0.000, 0.000, 0.500) and Co at (0.000, 0.500, 0.250).



Record 20
# KBe2Co

An optimized crystal structure of KBe2Co (GGA-PBE, the Alexandria database).

The energy above the lowest structure with this stoichiometry comes out at 1055 meV per atom. The mass density is 3.14 g/cm3. Its total energy is -2.5814 eV per atom.

It has space group Pmmm (No. 47), with a = 2.532 Å, b = 4.911 Å, c = 4.939 Å, α = 90.00°, β = 90.00° and γ = 90.00°. The distinct sites, in fractional coordinates, are K at (0.000, 0.000, 0.000), Be at (0.000, 0.500, 0.500), Be at (0.500, 0.000, 0.500) and Co at (0.500, 0.500, 0.000).